DFT (meta-GGA SCAN) results for a PBEsol-optimized structure of MgTaTc3.

a = 4.3737 Å, b = 4.3737 Å, c = 4.3737 Å
α = 90.00°, β = 90.00°, γ = 90.00°
Last column: nearest neighbours and their distance in Å.
Sites, in units of the cell vectors:
1 Mg 0.0000 0.0000 0.0000  6 Tc 2.19
2 Ta 0.5000 0.5000 0.5000  12 Tc 3.09
3 Tc 0.0000 0.0000 0.5000  2 Mg 2.19
4 Tc 0.0000 0.5000 0.0000  2 Mg 2.19
5 Tc 0.5000 0.0000 0.0000  2 Mg 2.19

Output
Space group ... No. 221
Energy of formation ... 8.9 eV per formula unit
D(E_F) ... 5.7 states/eV/f.u.
V ... 16.73 Å³/atom